# 1
Compound: Mn2ZnFe
Source: Alexandria
Functional: PBE
Structure: relaxed

Cell lengths 2.5085, 2.5085, 25.0506 Å; angles 90.00, 90.00, 120.00 degrees
Space group R-3m (No. 166, hexagonal axes)
Asymmetric unit:
Mn: 0.0000 0.0000 0.2446 (multiplicity 6)
Zn: 0.0000 0.0000 0.0000 (multiplicity 3)
Fe: 0.0000 0.0000 0.5000 (multiplicity 3)

Results
**E_tot**: -0.5042 Ry per atom
**Energy of formation**: 158.4 meV/atom

---

# 2
Compound: ZrMnZnFe2
Source: Alexandria
Functional: PBE
Structure: relaxed

Cell lengths 4.428, 4.428, 4.473 Å; angles 90.00, 90.00, 90.00 degrees
Space group P4/mmm (No. 123)
Asymmetric unit:
Zr: 0.000 0.000 0.000 (multiplicity 1)
Mn: 0.500 0.500 0.000 (multiplicity 1)
Zn: 0.500 0.500 0.500 (multiplicity 1)
Fe: 0.000 0.500 0.500 (multiplicity 2)

Results
**E_tot**: -0.4680 Ry per atom
**Energy of formation**: 815.3 meV/atom

---

# 3
Compound: ZrMnFe3
Source: Alexandria
Functional: PBE
Structure: relaxed

Cell lengths 4.193, 4.193, 4.193 Å; angles 90.00, 90.00, 90.00 degrees
Space group Pm-3m (No. 221)
Asymmetric unit:
Zr: 0.000 0.000 0.000 (multiplicity 1)
Mn: 0.500 0.500 0.500 (multiplicity 1)
Fe: 0.000 0.500 0.500 (multiplicity 3)

Results
**E_tot**: -0.5858 Ry per atom
**Energy relative to the lowest polymorph listed for this composition**: 0 meV per atom
**Energy of formation**: 650.3 meV/atom

---

# 4
Compound: Zr2Mn15Fe2
Source: Alexandria
Functional: PBE
Structure: relaxed

Cell lengths 8.1404, 8.1404, 12.0675 Å; angles 90.00, 90.00, 120.00 degrees
Space group R-3m (No. 166, hexagonal axes)
Asymmetric unit:
Zr: 0.0000 0.0000 0.1548 (multiplicity 6)
Mn: 0.0000 0.2935 0.5000 (multiplicity 18)
Mn: 0.0000 0.5000 0.0000 (multiplicity 9)
Mn: 0.0008 0.5004 0.6557 (multiplicity 18)
Fe: 0.0000 0.0000 0.4032 (multiplicity 6)

Results
**E_tot**: -0.6651 Ry per atom
**Energy of formation**: -19.8 meV/atom

---

# 5
Compound: ZrMn2Fe3
Source: Alexandria
Functional: PBE
Structure: relaxed

Cell lengths 4.8337, 4.8337, 3.9479 Å; angles 90.00, 90.00, 120.00 degrees
Space group P6/mmm (No. 191)
Asymmetric unit:
Zr: 0.0000 0.0000 0.0000 (multiplicity 1)
Mn: 0.3333 0.6667 0.0000 (multiplicity 2)
Fe: 0.0000 0.5000 0.5000 (multiplicity 3)

Results
**E_tot**: -0.6400 Ry per atom
**Energy of formation**: 5.2 meV/atom

---

# 6
Compound: Zr2MnFe3
Source: Alexandria
Functional: PBE
Structure: relaxed

Cell lengths 4.9658, 4.9658, 12.3009 Å; angles 90.00, 90.00, 120.00 degrees
Space group R-3m (No. 166, hexagonal axes)
Asymmetric unit:
Zr: 0.0000 0.0000 0.1245 (multiplicity 6)
Mn: 0.0000 0.0000 0.5000 (multiplicity 3)
Fe: 0.0000 0.5000 0.0000 (multiplicity 9)

Results
**E_tot**: -0.6515 Ry per atom
**Energy of formation**: -254.6 meV/atom

---

# 7
Compound: Zr3MnFe8
Source: Alexandria
Functional: PBE
Structure: relaxed

Cell lengths 4.9182, 4.9182, 24.0995 Å; angles 90.00, 90.00, 120.00 degrees
Space group R3m (No. 160, hexagonal axes)
Asymmetric unit:
Zr: 0.0000 0.0000 0.0000 (multiplicity 3)
Zr: 0.0000 0.0000 0.1284 (multiplicity 3)
Zr: 0.0000 0.0000 0.5091 (multiplicity 3)
Mn: 0.0000 0.0000 0.6303 (multiplicity 3)
Fe: 0.0000 0.0000 0.3162 (multiplicity 3)
Fe: 0.0000 0.0000 0.8164 (multiplicity 3)
Fe: 0.1673 0.3346 0.9004 (multiplicity 9)
Fe: 0.1676 0.3352 0.3989 (multiplicity 9)

Results
**E_tot**: -0.6438 Ry per atom
**Energy of formation**: -217.1 meV/atom

---

# 8
Compound: Zr3MnFe
Source: Alexandria
Functional: PBE
Structure: relaxed

Cell lengths 4.726, 4.726, 4.726 Å; angles 90.00, 90.00, 90.00 degrees
Space group Pm-3m (No. 221)
Asymmetric unit:
Zr: 0.000 0.000 0.500 (multiplicity 3)
Mn: 0.500 0.500 0.500 (multiplicity 1)
Fe: 0.000 0.000 0.000 (multiplicity 1)

Results
**E_tot**: -0.5816 Ry per atom
**Energy relative to the lowest polymorph listed for this composition**: 0 meV per atom
**Energy of formation**: 741.9 meV/atom

---

# 9
Compound: ZrMn10Fe2
Source: Alexandria
Functional: PBE
Structure: relaxed

Cell lengths 8.185, 9.416, 7.960 Å; angles 90.00, 90.00, 90.00 degrees
Space group Cmcm (No. 63)
Asymmetric unit:
Zr: 0.000 0.125 0.250 (multiplicity 4)
Mn: 0.000 0.164 0.606 (multiplicity 8)
Mn: 0.000 0.395 0.069 (multiplicity 8)
Mn: 0.136 0.386 0.750 (multiplicity 8)
Mn: 0.218 0.000 0.000 (multiplicity 8)
Mn: 0.239 0.373 0.250 (multiplicity 8)
Fe: 0.250 0.250 0.000 (multiplicity 8)

Results
**E_tot**: -0.6642 Ry per atom
**Energy of formation**: -23.8 meV/atom

---

# 10
Compound: Zr4MnFe
Source: Alexandria
Functional: PBE
Structure: relaxed

Cell lengths 7.996, 7.996, 7.996 Å; angles 90.00, 90.00, 90.00 degrees
Space group F-43m (No. 216)
Asymmetric unit:
Zr: 0.125 0.125 0.125 (multiplicity 16)
Mn: 0.000 0.000 0.500 (multiplicity 4)
Fe: 0.250 0.250 0.750 (multiplicity 4)

Results
**E_tot**: -0.5819 Ry per atom
**Energy of formation**: 720.8 meV/atom

---

# 11
Compound: ZrMn17Fe
Source: Alexandria
Functional: PBE
Structure: relaxed

Cell lengths 7.8165, 7.8165, 12.5838 Å; angles 90.00, 90.00, 120.00 degrees
Space group R3m (No. 160, hexagonal axes)
Asymmetric unit:
Zr: 0.0000 0.0000 0.0000 (multiplicity 3)
Mn: 0.0000 0.0000 0.2327 (multiplicity 3)
Mn: 0.0000 0.0000 0.4183 (multiplicity 3)
Mn: 0.0138 0.3173 0.3322 (multiplicity 18)
Mn: 0.0290 0.5145 0.8220 (multiplicity 9)
Mn: 0.0375 0.5188 0.1871 (multiplicity 9)
Mn: 0.0965 0.5482 0.4772 (multiplicity 9)
Fe: 0.0000 0.0000 0.6487 (multiplicity 3)

Results
**E_tot**: -0.6599 Ry per atom
**Energy of formation**: 121.1 meV/atom

---

# 12
Compound: ZrMn4Fe
Source: Alexandria
Functional: PBE
Structure: relaxed

Cell lengths 6.770, 6.770, 6.770 Å; angles 90.00, 90.00, 90.00 degrees
Space group F-43m (No. 216)
Asymmetric unit:
Zr: 0.000 0.000 0.000 (multiplicity 4)
Mn: 0.124 0.124 0.624 (multiplicity 16)
Fe: 0.250 0.250 0.250 (multiplicity 4)

Results
**E_tot**: -0.6547 Ry per atom
**Energy of formation**: 40.0 meV/atom

---

# 13
Compound: Zr3MnFe
Source: Alexandria
Functional: PBE
Structure: relaxed

Cell lengths 4.719, 4.719, 4.719 Å; angles 90.00, 90.00, 90.00 degrees
Space group Pm-3m (No. 221)
Asymmetric unit:
Zr: 0.000 0.000 0.500 (multiplicity 3)
Mn: 0.000 0.000 0.000 (multiplicity 1)
Fe: 0.500 0.500 0.500 (multiplicity 1)

Results
**E_tot**: -0.5775 Ry per atom
**Energy relative to the lowest polymorph listed for this composition**: 56 meV per atom
**Energy of formation**: 797.5 meV/atom

---

# 14
Compound: ZrMn6Fe3
Source: Alexandria
Functional: PBE
Structure: relaxed

Cell lengths 4.705, 4.751, 6.572 Å; angles 87.56, 72.43, 62.49 degrees
Space group P1 (No. 1)
Asymmetric unit:
Zr: 0.000 0.000 0.000 (multiplicity 1)
Mn: 0.107 0.451 0.733 (multiplicity 1)
Mn: 0.329 0.814 0.541 (multiplicity 1)
Mn: 0.463 0.241 0.391 (multiplicity 1)
Mn: 0.610 0.473 0.772 (multiplicity 1)
Mn: 0.635 0.973 0.741 (multiplicity 1)
Mn: 0.925 0.243 0.410 (multiplicity 1)
Fe: 0.291 0.344 0.075 (multiplicity 1)
Fe: 0.586 0.699 0.144 (multiplicity 1)
Fe: 0.951 0.724 0.380 (multiplicity 1)

Results
**E_tot**: -0.6502 Ry per atom
**Energy of formation**: 49.1 meV/atom

---

# 15
Compound: Fe3Mo2
Source: Alexandria
Functional: PBE
Structure: relaxed

Cell lengths 2.7075, 2.7075, 31.7194 Å; angles 90.00, 90.00, 120.00 degrees
Space group R-3m (No. 166, hexagonal axes)
Asymmetric unit:
Fe: 0.0000 0.0000 0.0000 (multiplicity 3)
Fe: 0.0000 0.0000 0.1963 (multiplicity 6)
Mo: 0.0000 0.0000 0.4013 (multiplicity 6)

Results
**E_tot**: -0.6705 Ry per atom
**Energy relative to the lowest polymorph listed for this composition**: 117 meV per atom
**Energy of formation**: 287.8 meV/atom

---

# 16
Compound: Fe3Mo2
Source: Alexandria
Functional: PBE
Structure: relaxed

Cell lengths 8.154, 11.873, 5.264 Å; angles 90.00, 90.00, 90.00 degrees
Space group Fdd2 (No. 43)
Asymmetric unit:
Fe: 0.000 0.000 0.000 (multiplicity 8)
Fe: 0.053 0.108 0.355 (multiplicity 16)
Mo: 0.079 0.201 0.882 (multiplicity 16)

Results
**E_tot**: -0.6791 Ry per atom
**Energy relative to the lowest polymorph listed for this composition**: 0 meV per atom
**Energy of formation**: 171.0 meV/atom

---

# 17
Compound: Fe3Mo
Source: Alexandria
Functional: PBE
Structure: relaxed

Cell lengths 2.6951, 2.6951, 24.7278 Å; angles 90.00, 90.00, 120.00 degrees
Space group R-3m (No. 166, hexagonal axes)
Asymmetric unit:
Fe: 0.0000 0.0000 0.0000 (multiplicity 3)
Fe: 0.0000 0.0000 0.2547 (multiplicity 6)
Mo: 0.0000 0.0000 0.5000 (multiplicity 3)

Results
**E_tot**: -0.6481 Ry per atom
**Energy of formation**: 237.5 meV/atom

---

# 18
Compound: Fe3Mo
Source: Alexandria
Functional: PBE
Structure: relaxed

Cell lengths 2.6347, 2.6347, 8.7005 Å; angles 90.00, 90.00, 120.00 degrees
Space group P-6m2 (No. 187)
Asymmetric unit:
Fe: 0.0000 0.0000 0.0000 (multiplicity 1)
Fe: 0.3333 0.6667 0.2399 (multiplicity 2)
Mo: 0.0000 0.0000 0.5000 (multiplicity 1)

Results
**E_tot**: -0.6433 Ry per atom
**Energy of formation**: 302.2 meV/atom

---

# 19
Compound: Fe4Mo
Source: Alexandria
Functional: PBE
Structure: relaxed

Cell lengths 4.391, 4.391, 4.391 Å; angles 90.00, 90.00, 90.00 degrees
Space group Pm-3m (No. 221)
Asymmetric unit:
Fe: 0.000 0.000 0.000 (multiplicity 1)
Fe: 0.000 0.500 0.500 (multiplicity 3)
Mo: 0.500 0.500 0.500 (multiplicity 1)

Results
**E_tot**: -0.5363 Ry per atom
**Energy of formation**: 1640.2 meV/atom

---

# 20
Compound: FeMo3
Source: Alexandria
Functional: PBE
Structure: relaxed

Cell lengths 2.681, 2.681, 8.155 Å; angles 90.00, 90.00, 90.00 degrees
Space group P4/mmm (No. 123)
Asymmetric unit:
Fe: 0.000 0.000 0.000 (multiplicity 1)
Mo: 0.000 0.000 0.500 (multiplicity 1)
Mo: 0.500 0.500 0.216 (multiplicity 2)

Results
**E_tot**: -0.7392 Ry per atom
**Energy of formation**: 182.4 meV/atom